[1]
The following is a PBE-GGA calculation of crystalline KZn2GaO4 at its relaxed geometry, from the Alexandria database.

The structure belongs to space group I-42m (No. 121); the cell edges are 5.207, 5.207 and 8.022 Å and the angles 90.00°, 90.00° and 90.00°. The distinct sites, in fractional coordinates, are K at (0.000, 0.000, 0.000), Zn at (0.000, 0.500, 0.250), Ga at (0.000, 0.000, 0.500) and O at (0.198, 0.198, 0.647).

The calculation puts the formation energy without anion corrections at -1.5297 eV per atom. The total magnetization is 0.000 μB/f.u.


[2]
The following is a PBE-GGA calculation of crystalline KGa3Os at its relaxed geometry, from the Alexandria database.

The structure belongs to space group Fd-3m (No. 227, origin choice 2); the cell edges are 13.505, 13.505 and 13.505 Å and the angles 90.00°, 90.00° and 90.00°. The distinct sites, in fractional coordinates, are K at (0.000, 0.000, 0.000), Ga at (0.035, 0.375, 0.875) and Os at (0.000, 0.000, 0.500).

The total magnetization is 0.000 μB/f.u. The energy above the lowest structure with this stoichiometry is 191 meV per atom. Its formation energy from the elements is -0.0475 eV per atom.


Repeat the second record exactly.
The following is a PBE-GGA calculation of crystalline KGa3Os at its relaxed geometry, from the Alexandria database.

The structure belongs to space group Fd-3m (No. 227, origin choice 2); the cell edges are 13.505, 13.505 and 13.505 Å and the angles 90.00°, 90.00° and 90.00°. The distinct sites, in fractional coordinates, are K at (0.000, 0.000, 0.000), Ga at (0.035, 0.375, 0.875) and Os at (0.000, 0.000, 0.500).

The total magnetization is 0.000 μB/f.u. The energy above the lowest structure with this stoichiometry is 191 meV per atom. Its formation energy from the elements is -0.0475 eV per atom.